A geometry-optimized NpMn2TlO6 structure. Source: the Alexandria database, functional PBE+U.

Fermi-level density of states ... 3.2 states/eV per cell
Raw total energy ... -7.9192 eV/atom

a b c (Å): 6.2827 5.8369 10.3005
angles (deg): 90.00 124.49 90.00
Positions (direct):
Np  0.0000  0.0000  0.0000
Np  0.0000  0.5000  0.5000
Mn  0.3683  0.0029  0.7958
Mn  0.3683  0.4971  0.2958
Mn  0.6317  0.5029  0.7042
Mn  0.6317  0.9971  0.2042
Tl  0.5000  0.0000  0.5000
Tl  0.5000  0.5000  0.0000
O  0.0873  0.2252  0.6258
O  0.0873  0.2748  0.1258
O  0.2673  0.0837  0.9542
O  0.2673  0.4163  0.4542
O  0.3239  0.6789  0.6993
O  0.3239  0.8211  0.1993
O  0.6761  0.1789  0.8007
O  0.6761  0.3211  0.3007
O  0.7327  0.5837  0.5458
O  0.7327  0.9163  0.0458
O  0.9127  0.7252  0.8742
O  0.9127  0.7748  0.3742